No. 1
Below is a relaxed structure of LaNd12Y3, with properties calculated at the PBE-GGA level.

Cell: 5.1832 5.1832 20.7219 Å, 90.00 90.00 90.00°
Sites, in units of the cell vectors:
La 0.0000 0.0000 0.0000
Nd 0.0000 0.5000 0.1274
Nd 0.0000 0.5000 0.3758
Nd 0.0000 0.5000 0.6242
Nd 0.0000 0.5000 0.8726
Nd 0.5000 0.0000 0.1274
Nd 0.5000 0.0000 0.3758
Nd 0.5000 0.0000 0.6242
Nd 0.5000 0.0000 0.8726
Nd 0.5000 0.5000 0.0000
Nd 0.5000 0.5000 0.2526
Nd 0.5000 0.5000 0.5000
Nd 0.5000 0.5000 0.7474
Y 0.0000 0.0000 0.2515
Y 0.0000 0.0000 0.5000
Y 0.0000 0.0000 0.7485


No. 2
Below is a relaxed structure of LaY2Ga2Cu2, with properties calculated at the PBE-GGA level.

Cell: 9.7088 9.7088 9.7088 Å, 26.51 26.51 26.51°
Sites, in units of the cell vectors:
La 0.0000 0.0000 0.0000
Y 0.1255 0.1255 0.1255
Y 0.8745 0.8745 0.8745
Ga 0.2576 0.2576 0.2576
Ga 0.7424 0.7424 0.7424
Cu 0.4063 0.4063 0.4063
Cu 0.5937 0.5937 0.5937


The following electronic total energy values (in eV per atom) correspond, in order, to the records above: -5.083 -4.992.
The following size of the total moment values (in μB per cell) correspond, in order, to the records above: 0.00 0.00.